No. 1
# BeTlCu2

A relaxed structure of BeTlCu2 (PBE, the Alexandria database).

Computed properties:
DFT total energy (Ha/atom): -0.12095
Energy relative to the elements (eV per atom): 0.2799
V (A^3/atom): 14.800

Unit cell a=3.0516 b=3.0516 c=6.3573 alpha=90.00 beta=90.00 gamma=90.00
Fractional coordinates of all 4 atoms:
Tl 0.0000 0.0000 0.5054
Be 0.5000 0.5000 0.8381
Cu 0.0000 0.0000 0.9661
Cu 0.5000 0.5000 0.1904


No. 2
# CeErTlGe

A relaxed structure of CeErTlGe (PBE, the Alexandria database).

Computed properties:
DFT total energy (Ha/atom): -0.17486
Energy relative to the elements (eV per atom): -0.3880
V (A^3/atom): 25.663

Unit cell a=5.2556 b=5.2556 c=5.2556 alpha=60.00 beta=60.00 gamma=60.00
Each line ends with the local moment (μB).
Fractional coordinates of all 4 atoms:
Ge 0.0000 0.0000 0.0000  0.00
Tl 0.5000 0.5000 0.5000  0.01
Er 0.7500 0.7500 0.7500  0.07
Ce 0.2500 0.2500 0.2500  0.75